Computed, not measured: Np2In3Sn3 after structural relaxation at the GGA-PBE level of DFT.

The energy of formation comes out at -0.0973 eV per atom. The total magnetic moment is 8.4 μB per formula unit.

The structure belongs to space group Pmmm (No. 47); the cell edges are 4.615, 4.775 and 9.065 Å and the angles 90.00°, 90.00° and 90.00°. The asymmetric unit holds Np at (0.000, 0.000, 0.246), In at (0.000, 0.500, 0.500), In at (0.500, 0.500, 0.253), Sn at (0.000, 0.500, 0.000), Sn at (0.500, 0.000, 0.000) and Sn at (0.500, 0.000, 0.500).